{
  "formula": "NiSN2O",
  "functional": "GGA+U",
  "state": "relaxed",
  "dos_ef_per_ev_fu": 4.52,
  "total_energy_ev_per_atom": -3.90,
  "mass_density_g_cm3": 4.36,
  "lattice": [[-1.582, 1.907, 2.836], [-3.315, -0.093, -1.786], [-0.801, -3.118, 1.650]],
  "species": ["S", "Ni", "O", "N", "N"],
  "frac_coords": [[0.500, 0.500, 0.500], [0.000, 0.000, 0.000], [0.000, 0.000, 0.500], [0.000, 0.500, 0.000], [0.500, 0.000, 0.000]]
}